Record 1
Here is a geometry-optimized NpFeTcSn structure from Alexandria. Energies are from PBE.

Properties
Energy of formation from the pure elements (meV per atom): 48.3
D(E_F) (states/eV per cell): 4.52
Size of the total moment (μB/atom): 0.4643

```
NpFeTcSn
1.0
4.626 0.000 0.000
2.313 4.006 0.000
2.313 1.335 3.777
Np Fe Sn Tc
1 1 1 1
Direct
0.000 0.000 0.000
0.750 0.750 0.750
0.500 0.500 0.500
0.250 0.250 0.250
```

Record 2
Here is a geometry-optimized V5Fe2IrRu2 structure from Alexandria. Energies are from PBE.

Properties
Energy of formation from the pure elements (meV per atom): 39.6
D(E_F) (states/eV per cell): 19.42
Size of the total moment (μB/atom): 0.0000

```
V5Fe2IrRu2
1.0
3.016 0.000 0.000
0.000 9.481 0.000
0.000 0.000 9.481
V Ru Fe Ir
10 4 4 2
Direct
0.500 0.703 0.430
0.500 0.203 0.070
0.500 0.797 0.930
0.500 0.430 0.297
0.500 0.070 0.797
0.500 0.930 0.203
0.500 0.297 0.570
0.500 0.000 0.500
0.500 0.500 0.000
0.500 0.570 0.703
0.000 0.166 0.334
0.000 0.834 0.666
0.000 0.666 0.166
0.000 0.334 0.834
0.000 0.369 0.131
0.000 0.869 0.369
0.000 0.631 0.869
0.000 0.131 0.631
0.000 0.000 0.000
0.000 0.500 0.500
```

Record 3
Here is a geometry-optimized SrAc2Sm structure from Alexandria. Energies are from PBE.

Properties
Energy of formation from the pure elements (meV per atom): 149.9
D(E_F) (states/eV per cell): 5.36
Size of the total moment (μB/atom): 0.0000

```
SrAc2Sm
1.0
-3.327 -1.420 -1.420
0.039 -3.195 -2.212
-2.564 -9.333 10.021
Ac Sr Sm
2 1 1
Direct
0.093 0.093 0.720
0.907 0.907 0.280
0.000 0.000 0.000
0.500 0.500 0.500
```

Record 4
Here is a geometry-optimized Rb3CaAg2F6 structure from Alexandria. Energies are from PBE.

Properties
D(E_F) (states/eV per cell): 2.47
Size of the total moment (μB/atom): 0.0000
Raw formation energy (meV per atom): -2279

```
Rb3CaAg2F6
1.0
-1.312 -6.094 -1.315
1.836 3.940 -4.658
7.036 -1.787 1.262
F Rb Ag Ca
6 3 2 1
Direct
0.326 0.163 0.683
0.163 0.326 0.317
0.837 0.163 0.683
0.163 0.837 0.317
0.674 0.837 0.317
0.837 0.674 0.683
0.333 0.667 0.620
0.667 0.333 0.380
0.000 0.000 0.000
0.667 0.333 0.880
0.333 0.667 0.120
0.000 0.000 0.500
```

Record 5
Here is a geometry-optimized AcGa11Cu structure from Alexandria. Energies are from PBE.

Properties
Energy of formation from the pure elements (meV per atom): -153.1
D(E_F) (states/eV per cell): 4.80
Size of the total moment (μB/atom): 0.0000

```
AcGa11Cu
1.0
-0.185 -5.189 1.150
7.419 -3.052 -0.588
0.916 -1.299 6.584
Ga Cu Ac
11 1 1
Direct
0.505 0.763 0.222
0.000 0.000 0.500
0.973 0.365 0.649
0.623 0.365 0.351
0.727 0.763 0.778
0.495 0.237 0.778
0.027 0.635 0.351
0.500 0.000 0.500
0.273 0.237 0.222
0.000 0.500 0.000
0.377 0.635 0.649
0.500 0.500 0.000
0.000 0.000 0.000
```

Record 6
Here is a geometry-optimized Tm6Fe2Os structure from Alexandria. Energies are from PBE.

Properties
Energy of formation from the pure elements (meV per atom): -105.7
D(E_F) (states/eV per cell): 16.52
Size of the total moment (μB/atom): 0.1937

```
Tm6Fe2Os
1.0
-6.107 2.636 -4.561
4.161 -5.639 -3.992
-2.796 -3.284 6.815
Os Fe Tm
2 4 12
Direct
0.000 0.500 0.500
0.000 0.000 0.000
0.500 0.390 0.890
0.329 0.000 0.329
0.500 0.610 0.110
0.671 0.000 0.671
0.920 0.744 0.176
0.568 0.744 0.824
0.187 0.265 0.452
0.312 0.979 0.667
0.187 0.735 0.922
0.080 0.256 0.824
0.312 0.645 0.333
0.813 0.265 0.078
0.432 0.256 0.176
0.688 0.355 0.667
0.688 0.021 0.333
0.813 0.735 0.548
```

Record 7
Here is a geometry-optimized CoAg2Mo structure from Alexandria. Energies are from PBE.

Properties
Energy of formation from the pure elements (meV per atom): 570.9
D(E_F) (states/eV per cell): 4.04
Size of the total moment (μB/atom): 0.3703

```
CoAg2Mo
1.0
-1.230 5.349 -1.080
-1.870 1.725 -4.982
-0.524 -3.050 4.660
Ag Co Mo
2 1 1
Direct
0.519 0.519 0.000
0.981 0.981 0.000
0.750 0.250 0.500
0.250 0.750 0.500
```

Record 8
Here is a geometry-optimized Nd2AgH structure from Alexandria. Energies are from PBE.

Properties
Total DFT energy (no corrections) (eV per formula unit): -16.508
D(E_F) (states/eV per cell): 2.79
Size of the total moment (μB/atom): 0.0000

```
Nd2AgH
1.0
3.822 0.000 0.000
1.911 3.310 0.000
1.911 1.103 7.314
Nd Ag H
2 1 1
Direct
0.065 0.065 0.804
0.268 0.268 0.195
0.500 0.500 0.501
0.667 0.667 0.000
```